ScInOs | SCAN | single point on PBEsol structure

- N(E_F): 1.022 states/eV/f.u.
- VASP energy: -39.93 eV/atom
- Magnetization: 0.00 μB/f.u.
- E_form: -0.10 eV per atom

Lattice parameters (Å, degrees): 4.4612 4.4612 4.4612 60.00 60.00 60.00
Fractional positions:
In  0.5000  0.5000  0.5000
Os  0.2500  0.2500  0.2500
Sc  0.0000  0.0000  0.0000